NdDySi2 (PBE, relaxed); energy above the most stable polymorph in this dataset = 87 kJ/mol of formula units; V = 23.10 Å³/atom; M_tot = 0.026 μB per atom
1.0
2.1695 -9.7809 0.0000
2.1695 9.7809 0.0000
0.0000 0.0000 4.3537
Si Nd Dy
4 2 2
direct
0.6473 0.3527 0.7500
0.4726 0.5274 0.2500
0.5274 0.4726 0.7500
0.3527 0.6473 0.2500
0.9117 0.0883 0.7500
0.0883 0.9117 0.2500
0.7490 0.2510 0.2500
0.2510 0.7490 0.7500